No. 1
Material: Ag3Cl
Method: DFT, SCAN
State: single point on PBEsol structure

Summary:
For the density of states at the Fermi level, the calculation gives 0.63 states/eV/cell. The calculation puts the volume at 19.3 Å³ per atom. Its formation energy (no corrections) is -0.155 eV/atom. The raw total energy is -102.70 eV per cell.

Geometry as CIF:
```
data_Ag3Cl
_chemical_formula_sum 'Ag3 Cl1'
_cell_length_a 3.314
_cell_length_b 3.459
_cell_length_c 6.728
_cell_angle_alpha 90.00
_cell_angle_beta 90.47
_cell_angle_gamma 90.00
_space_group_name_H-M_alt 'P 1 2/m 1'
_space_group_IT_number 10
_space_group_name_Hall '-P 2y'
loop_
_atom_site_label
_atom_site_type_symbol
_atom_site_fract_x
_atom_site_fract_y
_atom_site_fract_z
Ag1 Ag 0.000 0.000 0.000
Ag2 Ag 0.496 0.500 0.791
Cl1 Cl 0.500 0.000 0.500
```

No. 2
Material: Sc3ZnAu
Method: DFT, SCAN
State: single point on PBEsol structure

Summary:
For the density of states at the Fermi level, the calculation gives 10.24 states/eV/cell. The calculation puts the volume at 26.5 Å³ per atom. Its energy relative to the elements is 0.010 eV per formula unit. The raw total energy is -125.37 eV per cell.

Geometry as CIF:
```
data_Sc3ZnAu
_chemical_formula_sum 'Sc3 Zn1 Au1'
_cell_length_a 5.096
_cell_length_b 5.096
_cell_length_c 5.096
_cell_angle_alpha 90.00
_cell_angle_beta 90.00
_cell_angle_gamma 90.00
_space_group_name_H-M_alt 'P m -3 m'
_space_group_IT_number 221
_space_group_name_Hall '-P 4 2 3'
loop_
_atom_site_label
_atom_site_type_symbol
_atom_site_fract_x
_atom_site_fract_y
_atom_site_fract_z
Sc1 Sc 0.000 0.000 0.500
Zn1 Zn 0.500 0.500 0.500
Au1 Au 0.000 0.000 0.000
```

No. 3
Material: Sc2CoAs
Method: DFT, SCAN
State: single point on PBEsol structure

Summary:
For the density of states at the Fermi level, the calculation gives 3.82 states/eV/cell. The calculation puts the volume at 16.9 Å³ per atom. Its energy relative to the elements is -3.446 eV per formula unit. The raw total energy is -138.83 eV per cell.

Geometry as CIF:
```
data_Sc2CoAs
_chemical_formula_sum 'Sc4 Co2 As2'
_cell_length_a 3.854
_cell_length_b 3.562
_cell_length_c 9.820
_cell_angle_alpha 90.00
_cell_angle_beta 90.00
_cell_angle_gamma 90.00
_space_group_name_H-M_alt 'A m m 2'
_space_group_IT_number 38
_space_group_name_Hall 'A 2 -2'
loop_
_atom_site_label
_atom_site_type_symbol
_atom_site_fract_x
_atom_site_fract_y
_atom_site_fract_z
Sc1 Sc 0.000 0.000 0.000
Sc2 Sc 0.500 0.000 0.287
Co1 Co 0.500 0.000 0.560
As1 As 0.000 0.000 0.715
```

No. 4
Material: Si2Tc
Method: DFT, SCAN
State: single point on PBEsol structure

Summary:
For the density of states at the Fermi level, the calculation gives 1.34 states/eV/cell. The calculation puts the volume at 14.2 Å³ per atom. Its formation energy (no corrections) is 0.217 eV/atom. The raw total energy is -54.44 eV per cell.

Geometry as CIF:
```
data_Si2Tc
_chemical_formula_sum 'Si2 Tc1'
_cell_length_a 4.4625
_cell_length_b 4.4625
_cell_length_c 2.4753
_cell_angle_alpha 90.00
_cell_angle_beta 90.00
_cell_angle_gamma 120.00
_space_group_name_H-M_alt 'P 6/m m m'
_space_group_IT_number 191
_space_group_name_Hall '-P 6 2'
loop_
_atom_site_label
_atom_site_type_symbol
_atom_site_fract_x
_atom_site_fract_y
_atom_site_fract_z
Si1 Si 0.3333 0.6667 0.0000
Tc1 Tc 0.0000 0.0000 0.0000
```

No. 5
Material: MoAu2
Method: DFT, SCAN
State: single point on PBEsol structure

Summary:
For the density of states at the Fermi level, the calculation gives 1.82 states/eV/cell. The calculation puts the volume at 20.1 Å³ per atom. Its energy relative to the elements is 1.241 eV per formula unit. The raw total energy is -171.96 eV per cell.

Geometry as CIF:
```
data_MoAu2
_chemical_formula_sum 'Mo1 Au2'
_cell_length_a 4.762
_cell_length_b 4.762
_cell_length_c 2.662
_cell_angle_alpha 90.00
_cell_angle_beta 90.00
_cell_angle_gamma 90.00
_space_group_name_H-M_alt 'P 4/m m m'
_space_group_IT_number 123
_space_group_name_Hall '-P 4 2'
loop_
_atom_site_label
_atom_site_type_symbol
_atom_site_fract_x
_atom_site_fract_y
_atom_site_fract_z
Mo1 Mo 0.000 0.000 0.000
Au1 Au 0.000 0.500 0.500
```

No. 6
Material: ZrAlOs2
Method: DFT, SCAN
State: single point on PBEsol structure

Summary:
For the density of states at the Fermi level, the calculation gives 4.52 states/eV/cell. The calculation puts the volume at 15.6 Å³ per atom. Its energy relative to the elements is -1.153 eV per formula unit. The raw total energy is -366.73 eV per cell.

Geometry as CIF:
```
data_ZrAlOs2
_chemical_formula_sum 'Zr2 Al2 Os4'
_cell_length_a 3.147
_cell_length_b 4.751
_cell_length_c 8.348
_cell_angle_alpha 90.00
_cell_angle_beta 90.00
_cell_angle_gamma 90.00
_space_group_name_H-M_alt 'I m m m'
_space_group_IT_number 71
_space_group_name_Hall '-I 2 2'
loop_
_atom_site_label
_atom_site_type_symbol
_atom_site_fract_x
_atom_site_fract_y
_atom_site_fract_z
Zr1 Zr 0.000 0.000 0.000
Al1 Al 0.000 0.000 0.500
Os1 Os 0.000 0.500 0.242
```

No. 7
Material: LiTaW2
Method: DFT, SCAN
State: single point on PBEsol structure

Summary:
For the density of states at the Fermi level, the calculation gives 8.18 states/eV/cell. The calculation puts the volume at 15.4 Å³ per atom. Its energy relative to the elements is 1.979 eV per formula unit. The raw total energy is -412.74 eV per cell.

Geometry as CIF:
```
data_LiTaW2
_chemical_formula_sum 'Li2 Ta2 W4'
_cell_length_a 3.768
_cell_length_b 3.768
_cell_length_c 8.702
_cell_angle_alpha 90.00
_cell_angle_beta 90.00
_cell_angle_gamma 90.00
_space_group_name_H-M_alt 'I 4/m m m'
_space_group_IT_number 139
_space_group_name_Hall '-I 4 2'
loop_
_atom_site_label
_atom_site_type_symbol
_atom_site_fract_x
_atom_site_fract_y
_atom_site_fract_z
Li1 Li 0.000 0.000 0.000
Ta1 Ta 0.000 0.000 0.500
W1 W 0.000 0.500 0.250
```

No. 8
Material: Al2Cu2Ag
Method: DFT, SCAN
State: single point on PBEsol structure

Summary:
For the density of states at the Fermi level, the calculation gives 1.78 states/eV/cell. The calculation puts the volume at 15.0 Å³ per atom. Its energy relative to the elements is 0.005 eV per formula unit. The raw total energy is -154.53 eV per cell.

Geometry as CIF:
```
data_Al2Cu2Ag
_chemical_formula_sum 'Al4 Cu4 Ag2'
_cell_length_a 3.291
_cell_length_b 3.291
_cell_length_c 13.857
_cell_angle_alpha 90.00
_cell_angle_beta 90.00
_cell_angle_gamma 90.00
_space_group_name_H-M_alt 'I 4/m m m'
_space_group_IT_number 139
_space_group_name_Hall '-I 4 2'
loop_
_atom_site_label
_atom_site_type_symbol
_atom_site_fract_x
_atom_site_fract_y
_atom_site_fract_z
Al1 Al 0.000 0.000 0.109
Cu1 Cu 0.000 0.500 0.250
Ag1 Ag 0.000 0.000 0.500
```